Record 1
A plane-wave DFT calculation with PBE-GGA was carried out for a geometry-optimized K2SbSe structure.

Formation energy from raw total energies ... -0.32 eV/atom
Total DFT energy (no corrections) ... -11.07 eV/cell
Crystal system ... trigonal
D(E_F) ... 3.8 states/eV/f.u.

Cell lengths 10.9346, 10.9346, 10.9346 Å; angles 19.93, 19.93, 19.93 degrees
Last column: magnetic moment on the atom in μB.
Atoms (fractional coordinates):
Se1 0.7500 0.7500 0.7500  0.20
K1 0.4900 0.4900 0.4900  0.00
K2 0.0100 0.0100 0.0100  0.00
Sb1 0.2500 0.2500 0.2500  0.01

***

Record 2
A plane-wave DFT calculation with PBE-GGA was carried out for a geometry-optimized TlH2PdF8 structure.

Total DFT energy (no corrections) ... -47.26 eV/cell
Crystal system ... triclinic
D(E_F) ... 1.9 states/eV/f.u.

Cell lengths 3.4640, 5.1429, 9.5864 Å; angles 74.55, 92.72, 68.22 degrees
Atoms (fractional coordinates):
F1 0.2195 0.6852 0.7269
F2 0.6480 0.7816 0.9617
F3 0.6260 0.7567 0.4547
F4 0.3520 0.2184 0.0383
F5 0.1758 0.7435 0.2073
F6 0.7805 0.3148 0.2731
F7 0.3740 0.2433 0.5453
F8 0.8242 0.2565 0.7927
Pd1 0.0000 0.0000 0.0000
H1 0.5046 0.4813 0.7604
H2 0.4954 0.5187 0.2396
Tl1 0.0000 0.0000 0.5000

***

Record 3
A plane-wave DFT calculation with PBE-GGA was carried out for a geometry-optimized Al3ZnCo structure.

Total DFT energy (no corrections) ... -14.96 eV/cell
E_form ... 449 kJ/mol of formula units
Crystal system ... cubic
D(E_F) ... 6.9 states/eV/f.u.

Cell lengths 4.5854, 4.5854, 4.5854 Å; angles 90.00, 90.00, 90.00 degrees
Last column: magnetic moment on the atom in μB.
Atoms (fractional coordinates):
Al1 0.0000 0.5000 0.0000  -0.01
Al2 0.0000 0.0000 0.5000  0.00
Al3 0.5000 0.0000 0.0000  -0.01
Co1 0.5000 0.5000 0.5000  1.68
Zn1 0.0000 0.0000 0.0000  0.01

***

Record 4
A plane-wave DFT calculation with PBE-GGA was carried out for a geometry-optimized Ac2NdPb2O2 structure.

Formation energy from raw total energies ... -1.58 eV/atom
Total DFT energy (no corrections) ... -41.35 eV/cell
Crystal system ... tetragonal
D(E_F) ... 5.1 states/eV/f.u.

Cell lengths 4.6576, 4.6576, 9.2472 Å; angles 104.59, 104.59, 90.00 degrees
Atoms (fractional coordinates):
Nd1 0.0000 0.0000 0.0000
Pb1 0.7990 0.7990 0.5980
Pb2 0.2010 0.2010 0.4020
Ac1 0.3913 0.3913 0.7826
Ac2 0.6087 0.6087 0.2174
O1 0.0000 0.5000 0.0000
O2 0.5000 0.0000 0.0000

***

Record 5
A plane-wave DFT calculation with PBE-GGA was carried out for a geometry-optimized AgSnAs2O8 structure.

Formation energy from raw total energies ... -0.96 eV/atom
Total DFT energy (no corrections) ... -67.39 eV/cell
Crystal system ... trigonal
D(E_F) ... 4.2 states/eV/f.u.

Cell lengths 5.1183, 5.1183, 7.4210 Å; angles 90.00, 90.00, 120.00 degrees
Last column: magnetic moment on the atom in μB.
Atoms (fractional coordinates):
O1 0.3305 0.3006 0.3266  0.01
O2 0.6667 0.3333 0.0245  0.34
O3 0.9701 0.6695 0.3266  0.01
O4 0.0299 0.3305 0.6734  0.01
O5 0.3333 0.6667 0.9755  0.34
O6 0.6994 0.0299 0.3266  0.01
O7 0.6695 0.6994 0.6734  0.01
O8 0.3006 0.9701 0.6734  0.01
Sn1 0.0000 0.0000 0.5000  0.00
Ag1 0.0000 0.0000 0.0000  0.13
As1 0.6667 0.3333 0.2572  -0.01
As2 0.3333 0.6667 0.7428  -0.01

***

Record 6
A plane-wave DFT calculation with PBE-GGA was carried out for a geometry-optimized SrTaFe structure.

Total DFT energy (no corrections) ... -19.89 eV/cell
E_form ... 203 kJ/mol of formula units
Crystal system ... hexagonal
D(E_F) ... 2.5 states/eV/f.u.

Cell lengths 3.9878, 3.9878, 5.4708 Å; angles 90.00, 90.00, 120.00 degrees
Atoms (fractional coordinates):
Ta1 0.6667 0.3333 0.8334
Fe1 0.0000 0.0000 0.8330
Sr1 0.3333 0.6667 0.3336

***

Record 7
A plane-wave DFT calculation with PBE-GGA was carried out for a geometry-optimized Tb7Pr4Ho structure.

Total DFT energy (no corrections) ... -55.05 eV/cell
E_form ... 102 kJ/mol of formula units
Crystal system ... triclinic
D(E_F) ... 18.5 states/eV/f.u.

Cell lengths 6.8954, 6.5896, 11.9221 Å; angles 75.76, 50.08, 82.29 degrees
Atoms (fractional coordinates):
Tb1 0.0567 0.3183 0.6405
Tb2 0.1960 0.4892 0.0506
Tb3 0.2780 0.8121 0.6170
Tb4 0.9433 0.6817 0.3595
Tb5 0.7220 0.1879 0.3830
Tb6 0.8040 0.5108 0.9494
Tb7 0.5000 0.0000 0.0000
Pr1 0.5284 0.6403 0.2822
Pr2 0.4716 0.3597 0.7178
Pr3 0.6918 0.8382 0.6939
Pr4 0.3082 0.1618 0.3061
Ho1 0.0000 0.0000 0.0000

***

Record 8
A plane-wave DFT calculation with PBE-GGA was carried out for a geometry-optimized ZrPt3Rh structure.

Total DFT energy (no corrections) ... -29.82 eV/cell
E_form ... 406 kJ/mol of formula units
Crystal system ... cubic
D(E_F) ... 7.6 states/eV/f.u.

Cell lengths 4.7740, 4.7740, 4.7740 Å; angles 90.00, 90.00, 90.00 degrees
Last column: magnetic moment on the atom in μB.
Atoms (fractional coordinates):
Zr1 0.5000 0.5000 0.5000  -0.15
Rh1 0.0000 0.0000 0.0000  0.82
Pt1 0.0000 0.5000 0.0000  0.17
Pt2 0.0000 0.0000 0.5000  0.42
Pt3 0.5000 0.0000 0.0000  0.07

***

Record 9
A plane-wave DFT calculation with PBE-GGA was carried out for a geometry-optimized TcRh2Br structure.

Formation energy from raw total energies ... 0.73 eV/atom
Total DFT energy (no corrections) ... -23.82 eV/cell
Crystal system ... tetragonal
D(E_F) ... 4.8 states/eV/f.u.

Cell lengths 4.5903, 4.5903, 4.5903 Å; angles 125.70, 125.70, 80.39 degrees
Atoms (fractional coordinates):
Rh1 0.2500 0.7500 0.5000
Rh2 0.0000 0.0000 0.0000
Tc1 0.5000 0.5000 0.0000
Br1 0.7500 0.2500 0.5000

***

Record 10
A plane-wave DFT calculation with PBE-GGA was carried out for a geometry-optimized La2ZnAs structure.

Total DFT energy (no corrections) ... -35.97 eV/cell
E_form ... -213 kJ/mol of formula units
Crystal system ... tetragonal
D(E_F) ... 4.9 states/eV/f.u.

Cell lengths 8.0146, 8.0146, 6.8236 Å; angles 54.04, 54.04, 90.00 degrees
Atoms (fractional coordinates):
As1 0.7500 0.2500 0.5000
As2 0.0000 0.0000 0.0000
La1 0.6325 0.1250 0.2500
La2 0.3750 0.3675 0.7500
La3 0.1175 0.6250 0.2500
La4 0.8750 0.8825 0.7500
Zn1 0.2500 0.7500 0.5000
Zn2 0.5000 0.5000 0.0000

***

Record 11
A plane-wave DFT calculation with PBE-GGA was carried out for a geometry-optimized ZrAu3C structure.

Total DFT energy (no corrections) ... -24.56 eV/cell
E_form ... 294 kJ/mol of formula units
Crystal system ... cubic
D(E_F) ... 4.8 states/eV/f.u.

Cell lengths 4.4148, 4.4148, 4.4148 Å; angles 90.00, 90.00, 90.00 degrees
Last column: magnetic moment on the atom in μB.
Atoms (fractional coordinates):
Zr1 0.5000 0.5000 0.5000  0.50
C1 0.0000 0.0000 0.0000  0.00
Au1 0.0000 0.0000 0.5000  0.07
Au2 0.5000 0.0000 0.0000  0.04
Au3 0.0000 0.5000 0.0000  0.04

***

Record 12
A plane-wave DFT calculation with PBE-GGA was carried out for a geometry-optimized AcSnHg2 structure.

Total DFT energy (no corrections) ... -10.46 eV/cell
E_form ... -169 kJ/mol of formula units
Crystal system ... trigonal
D(E_F) ... 1.8 states/eV/f.u.

Cell lengths 5.0077, 5.0077, 6.1332 Å; angles 65.91, 65.91, 60.00 degrees
Atoms (fractional coordinates):
Ac1 0.0000 0.0000 0.0000
Hg1 0.2334 0.2334 0.2999
Hg2 0.7666 0.7666 0.7001
Sn1 0.5000 0.5000 0.5000

***

Record 13
A plane-wave DFT calculation with PBE-GGA was carried out for a geometry-optimized Cd2RuCl structure.

Formation energy from raw total energies ... 0.19 eV/atom
Total DFT energy (no corrections) ... -12.19 eV/cell
Crystal system ... trigonal
D(E_F) ... 2.9 states/eV/f.u.

Cell lengths 10.1671, 10.1671, 10.1671 Å; angles 17.28, 17.28, 17.28 degrees
Atoms (fractional coordinates):
Cl1 0.4778 0.4778 0.4778
Ru1 0.7556 0.7556 0.7556
Cd1 0.0138 0.0138 0.0138
Cd2 0.2528 0.2528 0.2528

***

Record 14
A plane-wave DFT calculation with PBE-GGA was carried out for a geometry-optimized TcHg3P structure.

Total DFT energy (no corrections) ... -10.58 eV/cell
E_form ... 589 kJ/mol of formula units
Crystal system ... cubic
D(E_F) ... 4.6 states/eV/f.u.

Cell lengths 5.3452, 5.3452, 5.3452 Å; angles 90.00, 90.00, 90.00 degrees
Last column: magnetic moment on the atom in μB.
Atoms (fractional coordinates):
Hg1 0.0000 0.0000 0.5000  0.06
Hg2 0.0000 0.5000 0.0000  0.05
Hg3 0.5000 0.0000 0.0000  0.04
Tc1 0.0000 0.0000 0.0000  2.12
P1 0.5000 0.5000 0.5000  0.86

***

Record 15
A plane-wave DFT calculation with PBE-GGA was carried out for a geometry-optimized Pr4Y6Th structure.

Total DFT energy (no corrections) ... -127.88 eV/cell
E_form ... 133 kJ/mol of formula units
Crystal system ... orthorhombic
D(E_F) ... 19.3 states/eV/f.u.

Cell lengths 5.8268, 5.6939, 26.2075 Å; angles 90.00, 90.00, 120.77 degrees
Atoms (fractional coordinates):
Pr1 0.5293 0.0585 0.6234
Pr2 0.4707 0.9415 0.3766
Pr3 0.8425 0.6851 0.5442
Pr4 0.4707 0.9415 0.1234
Pr5 0.5293 0.0585 0.8766
Pr6 0.1575 0.3149 0.0442
Pr7 0.8425 0.6851 0.9558
Pr8 0.1575 0.3149 0.4558
Y1 0.1875 0.3751 0.8970
Y2 0.1415 0.2830 0.3158
Y3 0.5000 0.0000 0.5000
Y4 0.4755 0.9510 0.2500
Y5 0.8125 0.6249 0.1030
Y6 0.1415 0.2830 0.1842
Y7 0.8585 0.7170 0.6842
Y8 0.8125 0.6249 0.3970
Y9 0.5000 0.0000 0.0000
Y10 0.5245 0.0490 0.7500
Y11 0.8585 0.7170 0.8158
Y12 0.1875 0.3751 0.6030
Th1 0.8108 0.6216 0.2500
Th2 0.1892 0.3784 0.7500

***

Record 16
A plane-wave DFT calculation with PBE-GGA was carried out for a geometry-optimized Ac2HoNpSe6 structure.

Formation energy from raw total energies ... -1.71 eV/atom
Total DFT energy (no corrections) ... -63.70 eV/cell
Crystal system ... trigonal
D(E_F) ... 6.6 states/eV/f.u.

Cell lengths 7.5984, 7.5984, 7.8999 Å; angles 61.25, 61.25, 60.00 degrees
Last column: magnetic moment on the atom in μB.
Atoms (fractional coordinates):
Se1 0.4498 0.6832 0.7650  -0.02
Se2 0.6832 0.1020 0.7650  -0.02
Se3 0.5948 0.1877 0.2610  -0.02
Se4 0.1020 0.4498 0.7650  -0.02
Se5 0.9565 0.5948 0.2610  -0.02
Se6 0.1877 0.9565 0.2610  -0.02
Ac1 0.5267 0.5267 0.4200  0.01
Ac2 0.0251 0.0251 0.9248  0.01
Np1 0.8177 0.8177 0.5469  3.92
Ho1 0.3182 0.3182 0.0455  0.02

***

Record 17
A plane-wave DFT calculation with PBE-GGA was carried out for a geometry-optimized Rb2Se3I2 structure.

Formation energy from raw total energies ... -0.65 eV/atom
Total DFT energy (no corrections) ... -20.02 eV/cell
Crystal system ... monoclinic
D(E_F) ... 2.1 states/eV/f.u.

Cell lengths 7.1905, 8.5493, 6.4195 Å; angles 85.73, 90.00, 114.87 degrees
Atoms (fractional coordinates):
Rb1 0.2771 0.5542 0.2355
Rb2 0.7229 0.4458 0.7645
I1 0.1801 0.3603 0.7545
I2 0.8199 0.6397 0.2455
Se1 0.5503 0.1006 0.3580
Se2 0.5000 0.0000 0.0000
Se3 0.4497 0.8994 0.6420

***

Record 18
A plane-wave DFT calculation with PBE-GGA was carried out for a geometry-optimized Ho6Er2Tm3Sc structure.

Total DFT energy (no corrections) ... -55.97 eV/cell
E_form ... 35 kJ/mol of formula units
Crystal system ... monoclinic
D(E_F) ... 17.3 states/eV/f.u.

Cell lengths 6.0440, 6.0440, 11.5608 Å; angles 94.99, 94.99, 119.94 degrees
Atoms (fractional coordinates):
Tm1 0.1665 0.8335 0.5000
Tm2 0.8335 0.1665 0.5000
Tm3 0.5000 0.5000 0.5000
Er1 0.6667 0.3333 0.0000
Er2 0.3333 0.6667 0.0000
Ho1 0.4135 0.0822 0.2483
Ho2 0.2491 0.2491 0.7515
Ho3 0.5865 0.9178 0.7517
Ho4 0.9178 0.5865 0.7517
Ho5 0.7509 0.7509 0.2485
Ho6 0.0822 0.4135 0.2483
Sc1 0.0000 0.0000 0.0000

***

Record 19
A plane-wave DFT calculation with PBE-GGA was carried out for a geometry-optimized Er4Tl5Pb structure.

Total DFT energy (no corrections) ... -36.54 eV/cell
E_form ... -265 kJ/mol of formula units
Crystal system ... monoclinic
D(E_F) ... 5.9 states/eV/f.u.

Cell lengths 4.8867, 6.6548, 9.6714 Å; angles 116.05, 104.63, 90.00 degrees
Atoms (fractional coordinates):
Tl1 0.8906 0.6130 0.7812
Tl2 0.1094 0.3870 0.2188
Tl3 0.7045 0.8034 0.4090
Tl4 0.5000 0.5000 0.0000
Tl5 0.2955 0.1966 0.5910
Er1 0.3007 0.7193 0.6014
Er2 0.0849 0.8424 0.1698
Er3 0.6993 0.2807 0.3986
Er4 0.9151 0.1576 0.8302
Pb1 0.5000 0.0000 0.0000

***

Record 20
A plane-wave DFT calculation with PBE-GGA was carried out for a geometry-optimized FePt2Rh structure.

Total DFT energy (no corrections) ... -28.37 eV/cell
E_form ... -45 kJ/mol of formula units
Crystal system ... monoclinic
D(E_F) ... 5.9 states/eV/f.u.

Cell lengths 4.7673, 4.7673, 4.7399 Å; angles 79.61, 79.61, 33.55 degrees
Last column: magnetic moment on the atom in μB.
Atoms (fractional coordinates):
Pt1 0.9939 0.9939 0.0104  0.29
Pt2 0.7515 0.7515 0.7427  0.30
Rh1 0.5064 0.5064 0.4982  0.55
Fe1 0.2483 0.2483 0.2487  3.13